Record 1
Here is a relaxed structure of TaPRu2I from the Alexandria database. Energies are from GGA-PBE.

Unit cell a=4.882 b=4.882 c=4.757 alpha=90.00 beta=90.00 gamma=90.00
Fractional positions:
Ta  0.000  0.000  0.000
P  0.000  0.000  0.500
Ru  0.000  0.500  0.000
Ru  0.500  0.000  0.000
I  0.500  0.500  0.500

## Properties
Uncorrected formation energy ... 1281.1 meV per atom
Raw total energy ... -6.192 eV per atom
V ... 113 Å³/cell

***

Record 2
Here is a relaxed structure of Te2PRuI from the Alexandria database. Energies are from GGA-PBE.

Unit cell a=5.194 b=5.194 c=5.117 alpha=90.00 beta=90.00 gamma=90.00
Fractional positions:
Te  0.000  0.500  0.000
Te  0.500  0.000  0.000
P  0.000  0.000  0.000
Ru  0.500  0.500  0.500
I  0.000  0.000  0.500

## Properties
Uncorrected formation energy ... 1285.0 meV per atom
Raw total energy ... -3.219 eV per atom
V ... 138 Å³/cell
Energy relative to the lowest polymorph listed for this composition ... 0.4312 eV/atom

***

Record 3
Here is a relaxed structure of Te2PRuI from the Alexandria database. Energies are from GGA-PBE.

Unit cell a=5.116 b=5.116 c=5.408 alpha=90.00 beta=90.00 gamma=90.00
Fractional positions:
Te  0.000  0.500  0.000
Te  0.500  0.000  0.000
P  0.000  0.000  0.500
Ru  0.500  0.500  0.000
I  0.500  0.500  0.500

## Properties
Uncorrected formation energy ... 853.8 meV per atom
Raw total energy ... -3.650 eV per atom
V ... 142 Å³/cell
Energy relative to the lowest polymorph listed for this composition ... 0.0000 eV/atom

***

Record 4
Here is a relaxed structure of PSI from the Alexandria database. Energies are from GGA-PBE.

Unit cell a=3.092 b=7.890 c=8.557 alpha=93.21 beta=90.21 gamma=101.12
Fractional positions:
P  0.229  0.461  0.356
P  0.771  0.539  0.644
S  0.356  0.709  0.723
S  0.644  0.291  0.277
I  0.114  0.215  0.802
I  0.886  0.785  0.198

## Properties
Uncorrected formation energy ... 58.0 meV per atom
Raw total energy ... -3.638 eV per atom
V ... 204 Å³/cell

***

Record 5
Here is a relaxed structure of P4S5I2 from the Alexandria database. Energies are from GGA-PBE.

Unit cell a=4.584 b=8.271 c=9.052 alpha=89.45 beta=79.63 gamma=89.54
Fractional positions:
P  0.049  0.119  0.218
P  0.189  0.968  0.408
P  0.811  0.032  0.592
P  0.951  0.881  0.782
S  0.000  0.000  0.000
S  0.313  0.716  0.683
S  0.423  0.278  0.156
S  0.577  0.722  0.844
S  0.687  0.284  0.317
I  0.019  0.293  0.656
I  0.981  0.707  0.344

## Properties
Uncorrected formation energy ... 53.4 meV per atom
Raw total energy ... -4.072 eV per atom
V ... 338 Å³/cell

***

Record 6
Here is a relaxed structure of P4S3I2 from the Alexandria database. Energies are from GGA-PBE.

Unit cell a=10.358 b=16.860 c=7.262 alpha=90.00 beta=90.00 gamma=90.00
Fractional positions:
P  0.037  0.151  0.039
P  0.037  0.349  0.039
P  0.143  0.250  0.179
P  0.247  0.750  0.266
P  0.253  0.250  0.766
P  0.357  0.750  0.679
P  0.463  0.651  0.539
P  0.463  0.849  0.539
P  0.537  0.151  0.461
P  0.537  0.349  0.461
P  0.643  0.250  0.321
P  0.747  0.750  0.234
P  0.753  0.250  0.734
P  0.857  0.750  0.821
P  0.963  0.651  0.961
P  0.963  0.849  0.961
S  0.125  0.151  0.772
S  0.125  0.349  0.772
S  0.178  0.750  0.539
S  0.322  0.250  0.039
S  0.375  0.651  0.272
S  0.375  0.849  0.272
S  0.625  0.151  0.728
S  0.625  0.349  0.728
S  0.678  0.750  0.961
S  0.822  0.250  0.461
S  0.875  0.651  0.228
S  0.875  0.849  0.228
I  0.152  0.042  0.205
I  0.152  0.458  0.205
I  0.348  0.542  0.705
I  0.348  0.958  0.705
I  0.652  0.042  0.295
I  0.652  0.458  0.295
I  0.848  0.542  0.795
I  0.848  0.958  0.795

## Properties
Uncorrected formation energy ... -124.4 meV per atom
Raw total energy ... -4.249 eV per atom
V ... 1268 Å³/cell
Energy relative to the lowest polymorph listed for this composition ... 0.0147 eV/atom

***

Record 7
Here is a relaxed structure of P4S3I2 from the Alexandria database. Energies are from GGA-PBE.

Unit cell a=7.802 b=7.834 c=21.722 alpha=84.97 beta=87.14 gamma=89.66
Fractional positions:
P  0.005  0.098  0.380
P  0.067  0.526  0.397
P  0.079  0.025  0.884
P  0.113  0.230  0.947
P  0.159  0.529  0.657
P  0.216  0.882  0.552
P  0.445  0.195  0.838
P  0.487  0.043  0.104
P  0.513  0.957  0.896
P  0.555  0.805  0.162
P  0.784  0.118  0.448
P  0.841  0.471  0.343
P  0.887  0.770  0.053
P  0.921  0.975  0.116
P  0.933  0.474  0.603
P  0.995  0.902  0.620
S  0.079  0.752  0.698
S  0.158  0.275  0.423
S  0.212  0.128  0.802
S  0.266  0.860  0.927
S  0.306  0.629  0.576
S  0.363  0.323  0.918
S  0.637  0.677  0.082
S  0.694  0.371  0.424
S  0.734  0.140  0.073
S  0.788  0.872  0.198
S  0.842  0.725  0.577
S  0.921  0.248  0.302
I  0.087  0.554  0.102
I  0.267  0.629  0.307
I  0.398  0.223  0.190
I  0.418  0.072  0.601
I  0.582  0.928  0.399
I  0.602  0.777  0.810
I  0.733  0.371  0.693
I  0.913  0.446  0.898

## Properties
Uncorrected formation energy ... -139.1 meV per atom
Raw total energy ... -4.264 eV per atom
V ... 1321 Å³/cell
Energy relative to the lowest polymorph listed for this composition ... 0.0000 eV/atom

***

Record 8
Here is a relaxed structure of PS4I from the Alexandria database. Energies are from GGA-PBE.

Unit cell a=8.551 b=8.551 c=6.434 alpha=96.59 beta=96.59 gamma=55.35
Fractional positions:
P  0.059  0.059  0.315
P  0.941  0.941  0.685
S  0.144  0.726  0.931
S  0.188  0.812  0.500
S  0.194  0.194  0.454
S  0.274  0.856  0.069
S  0.726  0.144  0.931
S  0.806  0.806  0.546
S  0.812  0.188  0.500
S  0.856  0.274  0.069
I  0.283  0.283  0.169
I  0.717  0.717  0.831

## Properties
Uncorrected formation energy ... 139.1 meV per atom
Raw total energy ... -3.773 eV per atom
V ... 384 Å³/cell
Energy relative to the lowest polymorph listed for this composition ... 0.1136 eV/atom

***

Record 9
Here is a relaxed structure of P2S2I from the Alexandria database. Energies are from GGA-PBE.

Unit cell a=4.940 b=8.357 c=8.845 alpha=106.63 beta=101.14 gamma=96.75
Fractional positions:
P  0.103  0.213  0.129
P  0.353  0.504  0.885
P  0.647  0.496  0.115
P  0.897  0.787  0.871
S  0.277  0.748  0.008
S  0.357  0.457  0.259
S  0.643  0.543  0.741
S  0.723  0.252  0.992
I  0.024  0.842  0.628
I  0.976  0.158  0.372

## Properties
Uncorrected formation energy ... -100.8 meV per atom
Raw total energy ... -4.226 eV per atom
V ... 337 Å³/cell
Energy relative to the lowest polymorph listed for this composition ... 0.0000 eV/atom

***

Record 10
Here is a relaxed structure of P2S2I from the Alexandria database. Energies are from GGA-PBE.

Unit cell a=4.776 b=4.776 c=4.504 alpha=90.00 beta=90.00 gamma=90.00
Fractional positions:
P  0.000  0.500  0.000
P  0.500  0.000  0.000
S  0.000  0.000  0.000
S  0.000  0.000  0.500
I  0.500  0.500  0.500

## Properties
Uncorrected formation energy ... 947.6 meV per atom
Raw total energy ... -3.177 eV per atom
V ... 103 Å³/cell
Energy relative to the lowest polymorph listed for this composition ... 1.0484 eV/atom

***

Record 11
Here is a relaxed structure of P2S2I from the Alexandria database. Energies are from GGA-PBE.

Unit cell a=5.008 b=5.008 c=5.404 alpha=90.00 beta=90.00 gamma=90.00
Fractional positions:
P  0.000  0.000  0.000
P  0.500  0.500  0.000
S  0.000  0.500  0.500
S  0.500  0.000  0.500
I  0.000  0.000  0.500

## Properties
Uncorrected formation energy ... 1623.0 meV per atom
Raw total energy ... -2.502 eV per atom
V ... 136 Å³/cell
Energy relative to the lowest polymorph listed for this composition ... 1.7239 eV/atom

***

Record 12
Here is a relaxed structure of PS4I from the Alexandria database. Energies are from GGA-PBE.

Unit cell a=4.491 b=5.812 c=18.616 alpha=81.86 beta=83.34 gamma=69.31
Fractional positions:
P  0.086  0.212  0.343
P  0.914  0.788  0.657
S  0.135  0.050  0.041
S  0.260  0.438  0.397
S  0.309  0.829  0.581
S  0.500  0.236  0.936
S  0.500  0.764  0.064
S  0.691  0.171  0.419
S  0.740  0.562  0.603
S  0.865  0.950  0.959
I  0.193  0.500  0.758
I  0.807  0.500  0.242

## Properties
Uncorrected formation energy ... 25.5 meV per atom
Raw total energy ... -3.886 eV per atom
V ... 449 Å³/cell
Energy relative to the lowest polymorph listed for this composition ... 0.0000 eV/atom

***

Record 13
Here is a relaxed structure of P2S2I from the Alexandria database. Energies are from GGA-PBE.

Unit cell a=4.409 b=4.409 c=5.273 alpha=90.00 beta=90.00 gamma=90.00
Fractional positions:
P  0.000  0.000  0.000
P  0.000  0.000  0.500
S  0.000  0.500  0.000
S  0.500  0.000  0.000
I  0.500  0.500  0.500

## Properties
Uncorrected formation energy ... 683.2 meV per atom
Raw total energy ... -3.442 eV per atom
V ... 102 Å³/cell
Energy relative to the lowest polymorph listed for this composition ... 0.7840 eV/atom

***

Record 14
Here is a relaxed structure of PS5I from the Alexandria database. Energies are from GGA-PBE.

Unit cell a=4.455 b=5.193 c=10.969 alpha=88.32 beta=88.85 gamma=77.32
Fractional positions:
P  0.000  0.000  0.000
S  0.036  0.799  0.587
S  0.361  0.083  0.876
S  0.442  0.519  0.562
S  0.617  0.317  0.952
S  0.732  0.710  0.462
I  0.156  0.126  0.199

## Properties
Uncorrected formation energy ... 4.5 meV per atom
Raw total energy ... -3.938 eV per atom
V ... 247 Å³/cell

***

Record 15
Here is a relaxed structure of PSI from the Alexandria database. Energies are from GGA-PBE.

Unit cell a=13.177 b=3.764 c=9.556 alpha=90.00 beta=129.91 gamma=90.00
Fractional positions:
P  0.137  0.000  0.479
P  0.363  0.500  0.521
P  0.637  0.500  0.479
P  0.863  0.000  0.521
S  0.211  0.000  0.335
S  0.289  0.500  0.665
S  0.711  0.500  0.335
S  0.789  0.000  0.665
I  0.062  0.500  0.772
I  0.438  0.000  0.228
I  0.562  0.000  0.772
I  0.938  0.500  0.228

## Properties
Uncorrected formation energy ... -14.4 meV per atom
Raw total energy ... -3.710 eV per atom
V ... 364 Å³/cell

***

Record 16
Here is a relaxed structure of PSI from the Alexandria database. Energies are from GGA-PBE.

Unit cell a=5.245 b=5.364 c=7.917 alpha=82.29 beta=86.07 gamma=87.67
Fractional positions:
P  0.243  0.486  0.432
P  0.757  0.514  0.568
S  0.373  0.671  0.627
S  0.627  0.329  0.373
I  0.183  0.825  0.182
I  0.817  0.175  0.818

## Properties
Uncorrected formation energy ... -70.6 meV per atom
Raw total energy ... -3.766 eV per atom
V ... 220 Å³/cell

***

Record 17
Here is a relaxed structure of P2S2I from the Alexandria database. Energies are from GGA-PBE.

Unit cell a=5.260 b=5.260 c=4.919 alpha=90.00 beta=90.00 gamma=90.00
Fractional positions:
P  0.000  0.500  0.000
P  0.500  0.000  0.000
S  0.000  0.000  0.500
S  0.500  0.500  0.500
I  0.000  0.000  0.000

## Properties
Uncorrected formation energy ... 1748.8 meV per atom
Raw total energy ... -2.376 eV per atom
V ... 136 Å³/cell
Energy relative to the lowest polymorph listed for this composition ... 1.8496 eV/atom

***

Record 18
Here is a relaxed structure of P2S2I from the Alexandria database. Energies are from GGA-PBE.

Unit cell a=8.412 b=8.412 c=8.412 alpha=134.92 beta=134.92 gamma=65.65
Fractional positions:
P  0.232  0.000  0.232
P  0.750  0.018  0.268
P  0.750  0.482  0.732
P  0.768  0.000  0.768
S  0.515  0.246  0.269
S  0.977  0.246  0.731
S  0.996  0.227  0.231
S  0.996  0.765  0.769
I  0.309  0.809  0.500
I  0.559  0.559  0.000

## Properties
Uncorrected formation energy ... 123.3 meV per atom
Raw total energy ... -4.002 eV per atom
V ... 294 Å³/cell
Energy relative to the lowest polymorph listed for this composition ... 0.2241 eV/atom

***

Record 19
Here is a relaxed structure of SbP2SI from the Alexandria database. Energies are from GGA-PBE.

Unit cell a=5.231 b=5.231 c=4.867 alpha=90.00 beta=90.00 gamma=90.00
Fractional positions:
Sb  0.000  0.000  0.000
P  0.000  0.500  0.000
P  0.500  0.000  0.000
S  0.000  0.000  0.500
I  0.500  0.500  0.500

## Properties
Uncorrected formation energy ... 974.9 meV per atom
Raw total energy ... -3.149 eV per atom
V ... 133 Å³/cell
Energy relative to the lowest polymorph listed for this composition ... 0.0000 eV/atom

***

Record 20
Here is a relaxed structure of SbP2SI from the Alexandria database. Energies are from GGA-PBE.

Unit cell a=5.159 b=5.159 c=4.934 alpha=90.00 beta=90.00 gamma=90.00
Fractional positions:
Sb  0.000  0.000  0.000
P  0.000  0.500  0.500
P  0.500  0.000  0.500
S  0.500  0.500  0.000
I  0.500  0.500  0.500

## Properties
Uncorrected formation energy ... 1280.8 meV per atom
Raw total energy ... -2.843 eV per atom
V ... 131 Å³/cell
Energy relative to the lowest polymorph listed for this composition ... 0.3058 eV/atom

***

Record 21
Here is a relaxed structure of SbPSI2 from the Alexandria database. Energies are from GGA-PBE.

Unit cell a=5.265 b=5.265 c=5.522 alpha=90.00 beta=90.00 gamma=90.00
Fractional positions:
Sb  0.000  0.000  0.000
P  0.000  0.000  0.500
S  0.500  0.500  0.000
I  0.000  0.500  0.500
I  0.500  0.000  0.500

## Properties
Uncorrected formation energy ... 748.8 meV per atom
Raw total energy ... -2.603 eV per atom
V ... 153 Å³/cell
Energy relative to the lowest polymorph listed for this composition ... 0.0000 eV/atom

***

Record 22
Here is a relaxed structure of ScP2SI from the Alexandria database. Energies are from GGA-PBE.

Unit cell a=5.179 b=5.179 c=4.732 alpha=90.00 beta=90.00 gamma=90.00
Fractional positions:
Sc  0.000  0.000  0.000
P  0.000  0.500  0.000
P  0.500  0.000  0.000
S  0.000  0.000  0.500
I  0.500  0.500  0.500

## Properties
Uncorrected formation energy ... 271.8 meV per atom
Raw total energy ... -4.294 eV per atom
V ... 127 Å³/cell
Energy relative to the lowest polymorph listed for this composition ... 0.0000 eV/atom

***

Record 23
Here is a relaxed structure of ScP2SI from the Alexandria database. Energies are from GGA-PBE.

Unit cell a=5.072 b=5.072 c=4.925 alpha=90.00 beta=90.00 gamma=90.00
Fractional positions:
Sc  0.000  0.000  0.000
P  0.000  0.500  0.500
P  0.500  0.000  0.500
S  0.500  0.500  0.000
I  0.500  0.500  0.500

## Properties
Uncorrected formation energy ... 875.3 meV per atom
Raw total energy ... -3.691 eV per atom
V ... 127 Å³/cell
Energy relative to the lowest polymorph listed for this composition ... 0.6034 eV/atom

***

Calculated magnetization, 0.377; 0.000; 0.000; 0.000; 0.000; 0.000; 0.000; 0.000; 0.000; 0.000; 0.092; 0.000; 0.000; 0.000; 0.000; 0.000; 0.079; 0.208; 0.000; 0.000; 0.000; 0.000; 0.000 μB per atom (same order as the records).